# 1
Compound: TbSmZr
Source: Alexandria via LeMat-Bulk
Functional: GGA-PBE
Structure: relaxed

Results
Crystal system: monoclinic
DOS at the Fermi energy, states/eV per atom: 1.30
Distance to the lowest polymorph of the same formula, meV per atom: 42.0
Calculated volume, Å³ per atom: 28.8
Space group: P2_1/m, No. 11

abc: 4.942 3.379 10.475
angles: 99.26 90.00 90.00
Fractional coordinates of all 6 atoms:
Zr 0.347 0.209 0.841
Zr 0.847 0.781 0.983
Tb 0.847 0.628 0.679
Tb 0.347 0.362 0.145
Sm 0.847 0.945 0.312
Sm 0.347 0.045 0.512


# 2
Compound: La2Tl2Hg
Source: Alexandria via LeMat-Bulk
Functional: GGA-PBE
Structure: relaxed

Results
Crystal system: tetragonal
DOS at the Fermi energy, states/eV per atom: 0.94
Distance to the lowest polymorph of the same formula, meV per atom: 43.6
Calculated volume, Å³ per atom: 31.0
Space group: P4/mbm, No. 127

abc: 8.023 8.023 4.818
angles: 90.00 90.00 90.00
Fractional coordinates of all 10 atoms:
La 0.333 0.167 0.500
La 0.833 0.333 0.500
La 0.667 0.833 0.500
La 0.167 0.667 0.500
Tl 0.863 0.637 0.000
Tl 0.637 0.137 0.000
Tl 0.137 0.363 0.000
Tl 0.363 0.863 0.000
Hg 0.000 0.000 0.000
Hg 0.500 0.500 0.000


# 3
Compound: CdWAu2
Source: Alexandria via LeMat-Bulk
Functional: GGA-PBE
Structure: relaxed

Results
Crystal system: orthorhombic
DOS at the Fermi energy, states/eV per atom: 0.87
Distance to the lowest polymorph of the same formula, meV per atom: 345.4
Calculated volume, Å³ per atom: 18.2
Space group: Pmmm, No. 47

abc: 2.827 5.148 5.015
angles: 90.00 90.00 90.00
Fractional coordinates of all 4 atoms:
W 0.000 0.500 0.500
Au 0.500 0.500 0.000
Au 0.000 0.000 0.000
Cd 0.500 0.000 0.500


# 4
Compound: ZnCo2Rh
Source: Alexandria via LeMat-Bulk
Functional: GGA-PBE
Structure: relaxed

Results
Crystal system: monoclinic
Calculated total energy, eV per cell: -22.9
DOS at the Fermi energy, states/eV per atom: 1.25
Calculated volume, Å³ per atom: 12.5
Space group: Cm, No. 8

abc: 4.496 4.496 4.459
angles: 78.47 78.47 34.61
Each line ends with the local moment (μB).
Fractional coordinates of all 4 atoms:
Rh 0.495 0.495 0.501  0.47
Co 0.007 0.007 0.986  1.50
Co 0.746 0.746 0.766  1.62
Zn 0.253 0.253 0.247  -0.04


# 5
Compound: HgP2CS
Source: Alexandria via LeMat-Bulk
Functional: GGA-PBE
Structure: relaxed

Results
Crystal system: tetragonal
DOS at the Fermi energy, states/eV per atom: 0.92
Distance to the lowest polymorph of the same formula, meV per atom: 1359.6
Calculated volume, Å³ per atom: 25.5
Space group: P4/mmm, No. 123
Raw formation energy, eV/f.u.: 12.997

abc: 5.052 5.052 4.987
angles: 90.00 90.00 90.00
Each line ends with the local moment (μB).
Fractional coordinates of all 5 atoms:
Hg 0.000 0.000 0.000  -0.04
C 0.500 0.500 0.500  0.77
S 0.000 0.000 0.500  -0.21
P 0.500 0.000 0.000  -0.48
P 0.000 0.500 0.000  -0.48


# 6
Compound: Nb2InRu2
Source: Alexandria via LeMat-Bulk
Functional: GGA-PBE
Structure: relaxed

Results
Crystal system: tetragonal
Calculated total energy, eV per cell: -82.3
DOS at the Fermi energy, states/eV per atom: 0.74
Calculated volume, Å³ per atom: 18.0
Space group: P4/mbm, No. 127

abc: 7.761 7.761 2.988
angles: 90.00 90.00 90.00
Fractional coordinates of all 10 atoms:
Nb 0.852 0.648 0.000
Nb 0.148 0.352 0.000
Nb 0.648 0.148 0.000
Nb 0.352 0.852 0.000
Ru 0.360 0.140 0.500
Ru 0.860 0.360 0.500
Ru 0.140 0.640 0.500
Ru 0.640 0.860 0.500
In 0.000 0.000 0.000
In 0.500 0.500 0.000


# 7
Compound: Nd8Os2Rh
Source: Alexandria via LeMat-Bulk
Functional: GGA-PBE
Structure: relaxed

Results
Crystal system: monoclinic
Calculated total energy, eV per cell: -69.2
DOS at the Fermi energy, states/eV per atom: 0.90
Calculated volume, Å³ per atom: 29.3
Space group: Cm, No. 8

abc: 6.211 7.744 7.744
angles: 113.07 100.86 100.86
Fractional coordinates of all 11 atoms:
Nd 0.587 0.343 0.082
Nd 0.382 0.923 0.661
Nd 0.587 0.082 0.343
Nd 0.382 0.661 0.923
Nd 0.990 0.788 0.212
Nd 0.186 0.364 0.364
Nd 0.990 0.212 0.788
Nd 0.798 0.644 0.644
Rh 0.112 0.005 0.005
Os 0.492 0.315 0.696
Os 0.492 0.696 0.315


# 8
Compound: Ti2TlIn2
Source: Alexandria via LeMat-Bulk
Functional: GGA-PBE
Structure: relaxed

Results
Crystal system: tetragonal
DOS at the Fermi energy, states/eV per atom: 0.95
Distance to the lowest polymorph of the same formula, meV per atom: 0.0
Calculated volume, Å³ per atom: 22.0
Space group: P4/mbm, No. 127

abc: 8.100 8.100 3.350
angles: 90.00 90.00 90.00
Each line ends with the local moment (μB).
Fractional coordinates of all 10 atoms:
Ti 0.115 0.385 0.000  0.31
Ti 0.615 0.115 0.000  0.30
Ti 0.885 0.615 0.000  0.31
Ti 0.385 0.885 0.000  0.30
Tl 0.000 0.000 0.000  0.01
Tl 0.500 0.500 0.000  0.00
In 0.319 0.181 0.500  -0.01
In 0.819 0.319 0.500  -0.01
In 0.181 0.681 0.500  -0.01
In 0.681 0.819 0.500  -0.01